(1)
The following is a PBE calculation of an optimized crystal structure of CsScNb2As, from Alexandria. Values from VASP.

```
&SYSTEM
  ibrav = 0, nat = 5, ntyp = 4
/
ATOMIC_SPECIES
Cs 132.91 Cs.upf
Sc 44.96 Sc.upf
Nb 92.91 Nb.upf
As 74.92 As.upf
CELL_PARAMETERS angstrom
5.047 0.000 0.000
0.000 5.047 0.000
0.000 0.000 5.578
ATOMIC_POSITIONS crystal
Cs 0.000 0.000 0.000
Sc 0.500 0.500 0.500
Nb 0.000 0.500 0.000
Nb 0.500 0.000 0.000
As 0.000 0.000 0.500
```

Total magnetization, Bohr magnetons per cell: 0.01
V, Å³ per atom: 28.42
Formation enthalpy at 0 K, eV per atom: 2.37

---

(2)
The following is a PBE calculation of an optimized crystal structure of Tb8Pm6Y, from Alexandria. Values from VASP.

```
&SYSTEM
  ibrav = 0, nat = 15, ntyp = 3
/
ATOMIC_SPECIES
Tb 158.93 Tb.upf
Pm 145.00 Pm.upf
Y 88.91 Y.upf
CELL_PARAMETERS angstrom
4.572 2.640 6.952
-4.572 2.640 6.952
0.000 -5.280 6.952
ATOMIC_POSITIONS crystal
Tb 0.077 0.077 0.077
Tb 0.219 0.612 0.247
Tb 0.247 0.219 0.612
Tb 0.388 0.753 0.781
Tb 0.612 0.247 0.219
Tb 0.753 0.781 0.388
Tb 0.781 0.388 0.753
Tb 0.923 0.923 0.923
Pm 0.038 0.603 0.731
Pm 0.269 0.962 0.397
Pm 0.397 0.269 0.962
Pm 0.603 0.731 0.038
Pm 0.731 0.038 0.603
Pm 0.962 0.397 0.269
Y 0.500 0.500 0.500
```

Total magnetization, Bohr magnetons per cell: 0.00
V, Å³ per atom: 33.57
Formation enthalpy at 0 K, eV per atom: 0.12
Distance to the lowest polymorph of the same formula, eV/atom: 0.000

---

(3)
The following is a PBE calculation of an optimized crystal structure of Ti2MnCdIr, from Alexandria. Values from VASP.

```
&SYSTEM
  ibrav = 0, nat = 5, ntyp = 4
/
ATOMIC_SPECIES
Ti 47.87 Ti.upf
Mn 54.94 Mn.upf
Cd 112.41 Cd.upf
Ir 192.22 Ir.upf
CELL_PARAMETERS angstrom
4.746 0.000 0.000
0.000 4.746 0.000
0.000 0.000 4.549
ATOMIC_POSITIONS crystal
Ti 0.000 0.500 0.000
Ti 0.500 0.000 0.000
Mn 0.000 0.000 0.500
Cd 0.500 0.500 0.500
Ir 0.000 0.000 0.000
```

Total magnetization, Bohr magnetons per cell: 0.00
V, Å³ per atom: 20.50
Formation enthalpy at 0 K, eV per atom: 0.58

---

(4)
The following is a PBE calculation of an optimized crystal structure of CaScAg2, from Alexandria. Values from VASP.

```
&SYSTEM
  ibrav = 0, nat = 4, ntyp = 3
/
ATOMIC_SPECIES
Ca 40.08 Ca.upf
Sc 44.96 Sc.upf
Ag 107.87 Ag.upf
CELL_PARAMETERS angstrom
-2.148 2.148 4.864
2.148 -2.148 4.864
2.148 2.148 -4.864
ATOMIC_POSITIONS crystal
Ca 0.000 0.000 0.000
Sc 0.250 0.750 0.500
Ag 0.500 0.500 0.000
Ag 0.750 0.250 0.500
```

Total magnetization, Bohr magnetons per cell: 0.00
V, Å³ per atom: 22.44
Formation enthalpy at 0 K, eV per atom: -0.07

---

(5)
The following is a PBE calculation of an optimized crystal structure of LiSiTc2, from Alexandria. Values from VASP.

```
&SYSTEM
  ibrav = 0, nat = 4, ntyp = 3
/
ATOMIC_SPECIES
Li 6.94 Li.upf
Si 28.09 Si.upf
Tc 98.00 Tc.upf
CELL_PARAMETERS angstrom
4.589 -1.528 0.000
4.589 1.528 0.000
-2.024 0.000 3.819
ATOMIC_POSITIONS crystal
Li 0.000 0.000 0.000
Si 0.500 0.500 0.500
Tc 0.244 0.244 0.744
Tc 0.756 0.756 0.256
```

Uncorrected energy, eV per atom: -7.051
Total magnetization, Bohr magnetons per cell: 0.00
V, Å³ per atom: 13.40

---

(6)
The following is a PBE calculation of an optimized crystal structure of DyMn6, from Alexandria. Values from VASP.

```
&SYSTEM
  ibrav = 0, nat = 7, ntyp = 2
/
ATOMIC_SPECIES
Dy 162.50 Dy.upf
Mn 54.94 Mn.upf
CELL_PARAMETERS angstrom
-3.039 3.039 3.039
3.039 -3.039 3.039
3.039 3.039 -3.039
ATOMIC_POSITIONS crystal
Dy 0.000 0.000 0.000
Mn 0.250 0.500 0.750
Mn 0.250 0.750 0.500
Mn 0.500 0.250 0.750
Mn 0.500 0.750 0.250
Mn 0.750 0.250 0.500
Mn 0.750 0.500 0.250
```

Total magnetization, Bohr magnetons per cell: 0.00
V, Å³ per atom: 16.03
Formation enthalpy at 0 K, eV per atom: 0.67
Distance to the lowest polymorph of the same formula, eV/atom: 0.599

---

(7)
The following is a PBE calculation of an optimized crystal structure of Tm5ThTe4, from Alexandria. Values from VASP.

```
&SYSTEM
  ibrav = 0, nat = 20, ntyp = 3
/
ATOMIC_SPECIES
Tm 168.93 Tm.upf
Th 232.04 Th.upf
Te 127.60 Te.upf
CELL_PARAMETERS angstrom
9.179 0.000 0.000
0.000 9.654 0.000
0.000 0.000 7.482
ATOMIC_POSITIONS crystal
Tm 0.065 0.064 0.213
Tm 0.065 0.436 0.213
Tm 0.250 0.750 0.213
Tm 0.435 0.064 0.213
Tm 0.435 0.436 0.213
Tm 0.565 0.564 0.787
Tm 0.565 0.936 0.787
Tm 0.750 0.250 0.787
Tm 0.935 0.564 0.787
Tm 0.935 0.936 0.787
Th 0.250 0.250 0.836
Th 0.750 0.750 0.164
Te 0.000 0.250 0.534
Te 0.000 0.750 0.466
Te 0.250 0.560 0.896
Te 0.250 0.940 0.896
Te 0.500 0.250 0.534
Te 0.500 0.750 0.466
Te 0.750 0.060 0.104
Te 0.750 0.440 0.104
```

Uncorrected energy, eV per atom: -4.864
Total magnetization, Bohr magnetons per cell: 0.00
V, Å³ per atom: 33.15

---

(8)
The following is a PBE calculation of an optimized crystal structure of K2TlIn3I6, from Alexandria. Values from VASP.

```
&SYSTEM
  ibrav = 0, nat = 12, ntyp = 4
/
ATOMIC_SPECIES
K 39.10 K.upf
Tl 204.38 Tl.upf
In 114.82 In.upf
I 126.90 I.upf
CELL_PARAMETERS angstrom
10.937 -2.503 0.000
10.937 2.503 0.000
-2.289 0.000 9.753
ATOMIC_POSITIONS crystal
K 0.167 0.167 0.331
K 0.833 0.833 0.669
Tl 0.500 0.500 0.000
In 0.168 0.168 0.832
In 0.500 0.500 0.500
In 0.832 0.832 0.168
I 0.000 0.000 0.253
I 0.000 0.000 0.747
I 0.333 0.333 0.919
I 0.335 0.335 0.418
I 0.665 0.665 0.582
I 0.667 0.667 0.081
```

Uncorrected energy, eV per atom: -2.668
Total magnetization, Bohr magnetons per cell: 0.00
V, Å³ per atom: 44.49

---

(9)
The following is a PBE calculation of an optimized crystal structure of ZrCo5Si3, from Alexandria. Values from VASP.

```
&SYSTEM
  ibrav = 0, nat = 18, ntyp = 3
/
ATOMIC_SPECIES
Zr 91.22 Zr.upf
Co 58.93 Co.upf
Si 28.09 Si.upf
CELL_PARAMETERS angstrom
1.817 -5.770 0.000
1.817 5.770 0.000
0.000 0.000 11.112
ATOMIC_POSITIONS crystal
Zr 0.162 0.838 0.750
Zr 0.838 0.162 0.250
Co 0.000 0.000 0.000
Co 0.000 0.000 0.500
Co 0.196 0.804 0.067
Co 0.196 0.804 0.433
Co 0.447 0.553 0.646
Co 0.447 0.553 0.854
Co 0.553 0.447 0.146
Co 0.553 0.447 0.354
Co 0.804 0.196 0.567
Co 0.804 0.196 0.933
Si 0.116 0.884 0.250
Si 0.382 0.618 0.047
Si 0.382 0.618 0.453
Si 0.618 0.382 0.547
Si 0.618 0.382 0.953
Si 0.884 0.116 0.750
```

Total magnetization, Bohr magnetons per cell: 2.41
V, Å³ per atom: 12.95
Distance to the lowest polymorph of the same formula, eV/atom: 0.175

---

(10)
The following is a PBE calculation of an optimized crystal structure of V2HgSb2, from Alexandria. Values from VASP.

```
&SYSTEM
  ibrav = 0, nat = 10, ntyp = 3
/
ATOMIC_SPECIES
V 50.94 V.upf
Hg 200.59 Hg.upf
Sb 121.76 Sb.upf
CELL_PARAMETERS angstrom
7.421 0.000 0.000
0.000 7.421 0.000
0.000 0.000 3.525
ATOMIC_POSITIONS crystal
V 0.135 0.365 0.000
V 0.365 0.865 0.000
V 0.635 0.135 0.000
V 0.865 0.635 0.000
Hg 0.000 0.000 0.000
Hg 0.500 0.500 0.000
Sb 0.155 0.655 0.500
Sb 0.345 0.155 0.500
Sb 0.655 0.845 0.500
Sb 0.845 0.345 0.500
```

Uncorrected energy, eV per atom: -5.276
Total magnetization, Bohr magnetons per cell: 0.00
V, Å³ per atom: 19.41

---

(11)
The following is a PBE calculation of an optimized crystal structure of La2ZnInS5, from Alexandria. Values from VASP.

```
&SYSTEM
  ibrav = 0, nat = 18, ntyp = 4
/
ATOMIC_SPECIES
La 138.91 La.upf
Zn 65.41 Zn.upf
In 114.82 In.upf
S 32.06 S.upf
CELL_PARAMETERS angstrom
2.007 -8.435 0.000
2.007 8.435 0.000
0.000 0.000 12.099
ATOMIC_POSITIONS crystal
La 0.115 0.885 0.500
La 0.131 0.869 0.145
La 0.869 0.131 0.645
La 0.885 0.115 0.000
Zn 0.456 0.544 0.234
Zn 0.544 0.456 0.734
In 0.186 0.814 0.844
In 0.814 0.186 0.344
S 0.009 0.991 0.820
S 0.290 0.710 0.504
S 0.321 0.679 0.170
S 0.343 0.657 0.824
S 0.487 0.513 0.558
S 0.513 0.487 0.058
S 0.657 0.343 0.324
S 0.679 0.321 0.670
S 0.710 0.290 0.004
S 0.991 0.009 0.320
```

Uncorrected energy, eV per atom: -5.249
Total magnetization, Bohr magnetons per cell: 0.00
V, Å³ per atom: 22.76